Record 1
VASP calculation (GGA-PBE) on a relaxed structure of HfCuMo2.

Values from the calculation:
Uncorrected energy   -8.7602 eV/atom
E_form   0.3 eV per formula unit

Cell lengths 4.500, 4.500, 4.500 Å; angles 60.00, 60.00, 60.00 degrees
Sites, in units of the cell vectors:
Cu: 0.250 0.250 0.250
Hf: 0.500 0.500 0.500
Mo: 0.000 0.000 0.000
Mo: 0.750 0.750 0.750

Record 2
VASP calculation (GGA-PBE) on a relaxed structure of HfCuTcMo.

Values from the calculation:
Uncorrected energy   -8.7571 eV/atom
E_form   -0.1 eV per formula unit

Cell lengths 4.468, 4.468, 4.468 Å; angles 60.00, 60.00, 60.00 degrees
Sites, in units of the cell vectors:
Cu: 0.750 0.750 0.750
Hf: 0.500 0.500 0.500
Mo: 0.000 0.000 0.000
Tc: 0.250 0.250 0.250